No. 1
ZnGeOs after structural relaxation. Source: the Alexandria database, functional PBE.

Output
Uncorrected energy = -5.65 eV per atom
DFT formation energy = 0.057 eV per atom
Magnetization = 0.00 Bohr magnetons per cell

a b c (Å): 2.9542 6.5973 6.9860
angles (deg): 132.38 102.21 90.00
Closest atoms and distances in Å follow each position.
Positions (direct):
Ge: 0.3337 0.3572 0.6675  3 Os 2.48-2.55, 2 Zn 2.52-2.73
Ge: 0.6663 0.6428 0.3325  3 Os 2.48-2.55, 2 Zn 2.52-2.73
Zn: 0.4158 0.1119 0.8316  2 Ge 2.52-2.73, 4 Os 2.66-2.72
Zn: 0.5842 0.8881 0.1684  2 Ge 2.52-2.73, 4 Os 2.66-2.72
Os: 0.8716 0.7203 0.7433  3 Ge 2.48-2.55, 4 Zn 2.66-2.72
Os: 0.1284 0.2797 0.2567  3 Ge 2.48-2.55, 4 Zn 2.66-2.72

***

No. 2
ZnGe2Os2 after structural relaxation. Source: the Alexandria database, functional PBE.

Output
Uncorrected energy = -6.27 eV per atom
DFT formation energy = 0.328 eV per atom
Magnetization = 0.00 Bohr magnetons per cell

a b c (Å): 3.6347 3.6347 6.6375
angles (deg): 74.11 74.11 90.00
Closest atoms and distances in Å follow each position.
Positions (direct):
Ge: 0.2500 0.7500 0.5000  4 Os 2.51, 4 Ge 2.57
Ge: 0.7500 0.2500 0.5000  4 Os 2.51, 4 Ge 2.57
Zn: 0.0000 0.0000 0.0000  8 Os 2.89
Os: 0.3916 0.3916 0.2169  4 Ge 2.51, 1 Os 2.65
Os: 0.6084 0.6084 0.7831  4 Ge 2.51, 1 Os 2.65

***

No. 3
Zn3GeOs after structural relaxation. Source: the Alexandria database, functional PBE.

Output
Uncorrected energy = -2.59 eV per atom
DFT formation energy = 1.343 eV per atom
Magnetization = 2.12 Bohr magnetons per cell

a b c (Å): 4.6244 4.6244 4.6244
angles (deg): 90.00 90.00 90.00
Closest atoms and distances in Å follow each position.
Positions (direct):
Os: 0.5000 0.5000 0.5000  12 Zn 3.27
Zn: 0.0000 0.5000 0.0000  2 Ge 2.31
Zn: 0.5000 0.0000 0.0000  2 Ge 2.31
Zn: 0.0000 0.0000 0.5000  2 Ge 2.31
Ge: 0.0000 0.0000 0.0000  6 Zn 2.31

***

No. 4
ZnGe2Os after structural relaxation. Source: the Alexandria database, functional PBE.

Output
Uncorrected energy = -5.28 eV per atom
DFT formation energy = 0.151 eV per atom
Magnetization = 0.00 Bohr magnetons per cell

a b c (Å): 3.0416 3.0416 8.7752
angles (deg): 80.02 80.02 60.00
Closest atoms and distances in Å follow each position.
Positions (direct):
Ge: 0.0950 0.0950 0.7151  1 Zn 2.45, 3 Os 2.55
Ge: 0.9050 0.9050 0.2849  1 Zn 2.45, 3 Os 2.55
Os: 0.5000 0.5000 0.5000  6 Ge 2.55
Zn: 0.0000 0.0000 0.0000  2 Ge 2.45